Entry 1:
A plane-wave DFT calculation with GGA-PBE was carried out for a relaxed structure of Ta2AlBr.

Cell: 3.0126 3.0261 8.2708 Å, 90.00 90.00 90.00°
With the nearest neighbours (Å) after each atom.
Space group Pmmm (No. 47)
Unique sites:
Ta: 0.0000 0.0000 0.2203 [2 per cell]  2 Br 2.76, 4 Al 2.81, 4 Ta 3.01-3.03
Al: 0.5000 0.5000 0.0000 [1 per cell]  8 Ta 2.81, 4 Al 3.01-3.03
Br: 0.5000 0.0000 0.5000 [1 per cell]  4 Ta 2.76, 4 Br 3.01-3.03

Calculated values
The calculation puts the magnetic moment at 0.00 Bohr magnetons per cell. The calculation puts the density at 10324 kg/m3. The relative energy among the computed polymorphs is 111 meV per atom. Its crystal system is orthorhombic. Its calculated volume is 75.4 Å³ per cell.


Entry 2:
A plane-wave DFT calculation with GGA-PBE was carried out for a relaxed structure of TaAlBr2.

Cell: 3.2160 4.6398 5.5831 Å, 90.00 92.14 90.00°
With the nearest neighbours (Å) after each atom.
Space group P2/m (No. 10)
Unique sites:
Ta: 0.0000 0.0000 0.0000 [1 per cell]  4 Br 2.74
Al: 0.5000 0.0000 0.5000 [1 per cell]  4 Br 2.90, 2 Ta 3.17, 2 Al 3.22
Br: 0.1794 0.5000 0.2430 [2 per cell]  2 Ta 2.74, 2 Al 2.90, 1 Br 2.91

Calculated values
The calculation puts the magnetic moment at 0.00 Bohr magnetons per cell. The calculation puts the density at 7335 kg/m3. The relative energy among the computed polymorphs is 672 meV per atom. Its crystal system is monoclinic. Its calculated volume is 83.3 Å³ per cell.


Entry 3:
A plane-wave DFT calculation with GGA-PBE was carried out for a relaxed structure of TaAlBr2.

Cell: 3.2879 3.2879 29.0236 Å, 90.00 90.00 120.00°
With the nearest neighbours (Å) after each atom.
Space group R3m (No. 160, hexagonal axes)
Unique sites:
Ta: 0.0000 0.0000 0.0000 [3 per cell]  3 Br 2.65, 3 Al 2.84
Al: 0.0000 0.0000 0.2607 [3 per cell]  3 Br 2.64, 3 Ta 2.84
Br: 0.0000 0.0000 0.5308 [3 per cell]  3 Al 2.64
Br: 0.0000 0.0000 0.7304 [3 per cell]  3 Ta 2.65

Calculated values
The calculation puts the magnetic moment at 0.00 Bohr magnetons per cell. The calculation puts the density at 6742 kg/m3. The relative energy among the computed polymorphs is 0 meV per atom. Its crystal system is trigonal. Its calculated volume is 271.7 Å³ per cell.


Entry 4:
A plane-wave DFT calculation with GGA-PBE was carried out for a relaxed structure of TaAlBr2.

Cell: 3.2163 5.9904 10.1610 Å, 90.00 90.00 90.00°
With the nearest neighbours (Å) after each atom.
Space group Cmm2 (No. 35)
Unique sites:
Ta: 0.0000 0.0000 0.0000 [2 per cell]  2 Br 2.61, 2 Al 2.73
Al: 0.0000 0.5000 0.7825 [2 per cell]  2 Br 2.54, 2 Ta 2.73
Br: 0.0000 0.0000 0.5896 [2 per cell]  2 Al 2.54
Br: 0.0000 0.5000 0.2029 [2 per cell]  2 Ta 2.61

Calculated values
The calculation puts the magnetic moment at 0.00 Bohr magnetons per cell. The calculation puts the density at 6238 kg/m3. The relative energy among the computed polymorphs is 286 meV per atom. Its crystal system is orthorhombic. Its calculated volume is 195.8 Å³ per cell.


Entry 5:
A plane-wave DFT calculation with GGA-PBE was carried out for a relaxed structure of Ta2AlBr.

Cell: 2.9708 4.7759 5.2894 Å, 90.00 102.09 90.00°
With the nearest neighbours (Å) after each atom.
Space group Pm (No. 6)
Unique sites:
Ta: 0.0000 0.0000 0.0000 [1 per cell]  2 Br 2.68-2.83, 2 Ta 2.97, 2 Al 2.98
Ta: 0.3097 0.5000 0.7269 [1 per cell]  2 Br 2.63, 2 Al 2.65-2.94
Al: 0.6395 0.5000 0.2319 [1 per cell]  2 Ta 2.65-2.94
Br: 0.2622 0.0000 0.5160 [1 per cell]  4 Ta 2.63-2.83

Calculated values
The calculation puts the magnetic moment at 0.00 Bohr magnetons per cell. The calculation puts the density at 10608 kg/m3. The relative energy among the computed polymorphs is 155 meV per atom. Its crystal system is monoclinic. Its calculated volume is 73.4 Å³ per cell.


Entry 6:
A plane-wave DFT calculation with GGA-PBE was carried out for a relaxed structure of TaAl2Br.

Cell: 4.0280 4.0280 9.1350 Å, 90.00 90.00 90.00°
With the nearest neighbours (Å) after each atom.
Space group I-4m2 (No. 119)
Unique sites:
Ta: 0.0000 0.0000 0.0000 [2 per cell]  8 Al 2.85-3.04, 4 Br 3.04
Al: 0.0000 0.0000 0.5000 [2 per cell]  4 Ta 2.85, 4 Br 3.04, 4 Al 3.04
Al: 0.0000 0.5000 0.7500 [2 per cell]  4 Br 2.85, 4 Ta 3.04, 4 Al 3.04
Br: 0.0000 0.5000 0.2500 [2 per cell]  8 Al 2.85-3.04, 4 Ta 3.04

Calculated values
The calculation puts the magnetic moment at 0.00 Bohr magnetons per cell. The calculation puts the density at 7054 kg/m3. The relative energy among the computed polymorphs is 656 meV per atom. Its crystal system is tetragonal. Its calculated volume is 148.2 Å³ per cell.


Entry 7:
A plane-wave DFT calculation with GGA-PBE was carried out for a relaxed structure of Ta2AlBr.

Cell: 3.3942 5.0344 10.2703 Å, 90.00 90.00 90.00°
With the nearest neighbours (Å) after each atom.
Space group Cmm2 (No. 35)
Unique sites:
Ta: 0.0000 0.0000 0.0000 [2 per cell]  2 Al 2.73, 6 Ta 2.76-3.04
Ta: 0.0000 0.5000 0.2115 [2 per cell]  2 Br 2.69, 2 Ta 2.76
Al: 0.0000 0.5000 0.7912 [2 per cell]  2 Ta 2.73, 4 Al 3.04
Br: 0.0000 0.0000 0.4151 [2 per cell]  2 Ta 2.69

Calculated values
The calculation puts the magnetic moment at 0.00 Bohr magnetons per cell. The calculation puts the density at 8871 kg/m3. The relative energy among the computed polymorphs is 0 meV per atom. Its crystal system is orthorhombic. Its calculated volume is 175.5 Å³ per cell.


Entry 8:
A plane-wave DFT calculation with GGA-PBE was carried out for a relaxed structure of TaAlBr2.

Cell: 3.1202 4.6650 5.6822 Å, 90.00 90.00 90.00°
With the nearest neighbours (Å) after each atom.
Space group Pmmm (No. 47)
Unique sites:
Ta: 0.0000 0.0000 0.0000 [1 per cell]  4 Br 2.81, 2 Ta 3.12
Al: 0.5000 0.0000 0.5000 [1 per cell]  4 Br 2.81, 2 Al 3.12
Br: 0.0000 0.5000 0.5000 [1 per cell]  4 Al 2.81, 2 Br 3.12
Br: 0.5000 0.5000 0.0000 [1 per cell]  4 Ta 2.81, 2 Br 3.12

Calculated values
The calculation puts the magnetic moment at 0.00 Bohr magnetons per cell. The calculation puts the density at 7383 kg/m3. The relative energy among the computed polymorphs is 823 meV per atom. Its crystal system is orthorhombic. Its calculated volume is 82.7 Å³ per cell.


Entry 9:
A plane-wave DFT calculation with GGA-PBE was carried out for a relaxed structure of TaAl2Br.

Cell: 7.5543 7.5543 5.6328 Å, 90.00 90.00 90.00°
With the nearest neighbours (Å) after each atom.
Space group I-42d (No. 122)
Unique sites:
Ta: 0.0000 0.0000 0.0000 [4 per cell]  4 Al 2.72, 2 Br 2.82
Al: 0.2411 0.2500 0.1250 [8 per cell]  2 Ta 2.72, 2 Br 2.81, 2 Al 2.82
Br: 0.0000 0.0000 0.5000 [4 per cell]  4 Al 2.81, 2 Ta 2.82

Calculated values
The calculation puts the magnetic moment at 0.00 Bohr magnetons per cell. The calculation puts the density at 6505 kg/m3. The relative energy among the computed polymorphs is 758 meV per atom. Its crystal system is tetragonal. Its calculated volume is 321.4 Å³ per cell.


Entry 10:
A plane-wave DFT calculation with GGA-PBE was carried out for a relaxed structure of TaAlBr2.

Cell: 6.7457 6.7457 6.7457 Å, 90.00 90.00 90.00°
With the nearest neighbours (Å) after each atom.
Space group Fm-3m (No. 225)
Unique sites:
Ta: 0.0000 0.0000 0.0000 [4 per cell]  8 Br 2.92
Al: 0.0000 0.0000 0.5000 [4 per cell]  8 Br 2.92
Br: 0.2500 0.2500 0.2500 [8 per cell]  4 Ta 2.92, 4 Al 2.92

Calculated values
The calculation puts the magnetic moment at 0.00 Bohr magnetons per cell. The calculation puts the density at 7957 kg/m3. The relative energy among the computed polymorphs is 1036 meV per atom. Its crystal system is cubic. Its calculated volume is 307.0 Å³ per cell.


Entry 11:
A plane-wave DFT calculation with GGA-PBE was carried out for a relaxed structure of TaAlBr2.

Cell: 7.1130 7.1130 7.1130 Å, 90.00 90.00 90.00°
With the nearest neighbours (Å) after each atom.
Space group F-43m (No. 216)
Unique sites:
Ta: 0.0000 0.0000 0.0000 [4 per cell]  4 Br 3.08, 4 Al 3.08
Al: 0.2500 0.2500 0.7500 [4 per cell]  4 Ta 3.08, 4 Br 3.08
Br: 0.0000 0.0000 0.5000 [4 per cell]  4 Br 3.08, 4 Al 3.08
Br: 0.2500 0.2500 0.2500 [4 per cell]  4 Ta 3.08, 4 Br 3.08

Calculated values
The calculation puts the magnetic moment at 14.05 Bohr magnetons per cell. The calculation puts the density at 6787 kg/m3. The relative energy among the computed polymorphs is 1283 meV per atom. Its crystal system is cubic. Its calculated volume is 359.9 Å³ per cell.


Entry 12:
A plane-wave DFT calculation with GGA-PBE was carried out for a relaxed structure of TaAl2Br.

Cell: 2.9813 5.1455 10.1165 Å, 90.00 90.00 90.00°
With the nearest neighbours (Å) after each atom.
Space group Imm2 (No. 44)
Unique sites:
Ta: 0.0000 0.0000 0.0000 [2 per cell]  2 Br 2.64, 2 Al 2.82
Al: 0.0000 0.0000 0.5074 [2 per cell]  4 Ta 2.97, 4 Al 2.98, 4 Br 3.31-3.32
Al: 0.0000 0.5000 0.2630 [2 per cell]  2 Ta 2.82, 4 Al 2.98, 4 Br 3.01
Br: 0.0000 0.5000 0.7153 [2 per cell]  2 Ta 2.64

Calculated values
The calculation puts the magnetic moment at 0.00 Bohr magnetons per cell. The calculation puts the density at 6737 kg/m3. The relative energy among the computed polymorphs is 292 meV per atom. Its crystal system is orthorhombic. Its calculated volume is 155.2 Å³ per cell.


Entry 13:
A plane-wave DFT calculation with GGA-PBE was carried out for a relaxed structure of TaAlBr2.

Cell: 9.1899 9.1899 5.4299 Å, 90.00 90.00 90.00°
With the nearest neighbours (Å) after each atom.
Space group I-42d (No. 122)
Unique sites:
Ta: 0.0000 0.0000 0.0000 [4 per cell]  4 Br 2.60, 2 Al 2.71
Al: 0.0000 0.0000 0.5000 [4 per cell]  2 Ta 2.71
Br: 0.1109 0.2500 0.1250 [8 per cell]  2 Ta 2.60

Calculated values
The calculation puts the magnetic moment at 4.40 Bohr magnetons per cell. The calculation puts the density at 5326 kg/m3. The relative energy among the computed polymorphs is 692 meV per atom. Its crystal system is tetragonal. Its calculated volume is 458.6 Å³ per cell.


Entry 14:
A plane-wave DFT calculation with GGA-PBE was carried out for a relaxed structure of TaAl2Br.

Cell: 6.2905 7.9622 2.9629 Å, 90.00 90.00 90.00°
With the nearest neighbours (Å) after each atom.
Space group Cmmm (No. 65)
Unique sites:
Ta: 0.0000 0.0000 0.0000 [2 per cell]  8 Al 2.94, 2 Ta 2.96, 2 Br 3.15
Al: 0.2500 0.2500 0.5000 [4 per cell]  4 Ta 2.94, 4 Br 2.94, 4 Al 2.96-3.15
Br: 0.0000 0.5000 0.0000 [2 per cell]  8 Al 2.94, 2 Br 2.96, 2 Ta 3.15

Calculated values
The calculation puts the magnetic moment at 0.00 Bohr magnetons per cell. The calculation puts the density at 7045 kg/m3. The relative energy among the computed polymorphs is 232 meV per atom. Its crystal system is orthorhombic. Its calculated volume is 148.4 Å³ per cell.


Entry 15:
A plane-wave DFT calculation with GGA-PBE was carried out for a relaxed structure of TaAl2Br.

Cell: 2.9868 4.7309 5.2112 Å, 90.00 90.00 90.00°
With the nearest neighbours (Å) after each atom.
Space group Pmmm (No. 47)
Unique sites:
Ta: 0.0000 0.0000 0.0000 [1 per cell]  4 Br 2.80, 2 Ta 2.99, 4 Al 3.00
Al: 0.0000 0.5000 0.5000 [1 per cell]  6 Al 2.80-2.99, 4 Br 3.00
Al: 0.5000 0.0000 0.5000 [1 per cell]  6 Al 2.80-2.99, 4 Ta 3.00
Br: 0.5000 0.5000 0.0000 [1 per cell]  4 Ta 2.80, 2 Br 2.99, 4 Al 3.00

Calculated values
The calculation puts the magnetic moment at 0.00 Bohr magnetons per cell. The calculation puts the density at 7099 kg/m3. The relative energy among the computed polymorphs is 466 meV per atom. Its crystal system is orthorhombic. Its calculated volume is 73.6 Å³ per cell.